[1]
{
  "formula": "Tb6ZnRh2",
  "functional": "PBE-GGA",
  "state": "optimized geometry",
  "mass_density_g_cm3": 8.840,
  "total_magnetization_mub_per_fu": 0.00,
  "formation_enthalpy_0k_ev_per_atom": -0.51,
  "lattice": [[-4.6864, 4.7635, 5.1530], [4.6864, -4.7635, 5.1530], [4.6864, 4.7635, -5.1530]],
  "species": ["Tb", "Tb", "Tb", "Tb", "Tb", "Tb", "Tb", "Tb", "Tb", "Tb", "Tb", "Tb", "Zn", "Zn", "Rh", "Rh", "Rh", "Rh"],
  "frac_coords": [[0.0470, 0.2399, 0.8071], [0.1778, 0.2805, 0.4583], [0.1778, 0.7195, 0.8973], [0.3289, 0.0225, 0.6936], [0.3289, 0.6353, 0.3064], [0.4329, 0.2399, 0.1929], [0.5671, 0.7601, 0.8071], [0.6711, 0.3647, 0.6936], [0.6711, 0.9775, 0.3064], [0.8222, 0.2805, 0.1027], [0.8222, 0.7195, 0.5417], [0.9530, 0.7601, 0.1929], [0.0000, 0.0000, 0.0000], [0.5000, 0.5000, 0.0000], [0.1318, 0.6318, 0.5000], [0.3299, 0.0000, 0.3299], [0.6701, 0.0000, 0.6701], [0.8682, 0.3682, 0.5000]]
}



[2]
{
  "formula": "Zr2Ti2Fe",
  "functional": "PBE-GGA",
  "state": "optimized geometry",
  "mass_density_g_cm3": 6.019,
  "total_magnetization_mub_per_fu": 0.00,
  "formation_enthalpy_0k_ev_per_atom": 0.01,
  "lattice": [[6.1927, 0.0000, 0.0000], [0.0000, 6.1927, 0.0000], [0.0000, 0.0000, 4.8060]],
  "species": ["Zr", "Zr", "Zr", "Zr", "Ti", "Ti", "Ti", "Ti", "Fe", "Fe"],
  "frac_coords": [[0.1644, 0.3356, 0.0000], [0.3356, 0.8356, 0.0000], [0.6644, 0.1644, 0.0000], [0.8356, 0.6644, 0.0000], [0.1571, 0.6571, 0.5000], [0.3429, 0.1571, 0.5000], [0.6571, 0.8429, 0.5000], [0.8429, 0.3429, 0.5000], [0.0000, 0.0000, 0.5000], [0.5000, 0.5000, 0.5000]]
}



[3]
{
  "formula": "TaTl2Cu",
  "functional": "PBE-GGA",
  "state": "optimized geometry",
  "mass_density_g_cm3": 13.170,
  "total_magnetization_mub_per_fu": 0.00,
  "e_above_lowest_polymorph_mev_per_atom": 171,
  "formation_enthalpy_0k_ev_per_atom": 0.60,
  "lattice": [[3.1369, -4.7645, 0.0000], [3.1369, 4.7645, 0.0000], [-1.2667, 0.0000, 2.7555]],
  "species": ["Ta", "Tl", "Tl", "Cu"],
  "frac_coords": [[0.0000, 0.0000, 0.0000], [0.0000, 0.5000, 0.5000], [0.5000, 0.0000, 0.5000], [0.5000, 0.5000, 0.0000]]
}



[4]
{
  "formula": "K2Cd2H7",
  "functional": "PBE-GGA",
  "state": "optimized geometry",
  "mass_density_g_cm3": 2.559,
  "total_magnetization_mub_per_fu": 0.00,
  "dft_energy_ev_per_atom": -2.38,
  "lattice": [[3.2384, -5.9079, 0.0000], [3.2384, 5.9079, 0.0000], [-1.5480, 0.0000, 5.2591]],
  "species": ["K", "K", "Cd", "Cd", "H", "H", "H", "H", "H", "H", "H"],
  "frac_coords": [[0.1826, 0.8174, 0.0000], [0.8174, 0.1826, 0.0000], [0.2531, 0.2531, 0.6333], [0.7469, 0.7469, 0.3667], [0.0523, 0.0523, 0.2968], [0.1591, 0.4395, 0.7626], [0.4395, 0.1591, 0.7626], [0.5000, 0.5000, 0.5000], [0.5605, 0.8409, 0.2374], [0.8409, 0.5605, 0.2374], [0.9477, 0.9477, 0.7032]]
}